Entry 1:
TbPm2Pr4Ho | PBE | relaxed

Summary:
The value obtained for the total energy is -4.715 eV per atom. For the volume, the calculation gives 34.51 A^3/atom.

Structure (extended XYZ):
```
8
Lattice="5.203 0.000 0.000 0.000 5.054 1.105 0.000 2.880 11.130" Properties=species:S:1:pos:R:3 pbc="T T T"
Pr 2.602 3.423 8.622
Pr 2.602 4.510 3.613
Pr 5.203 1.980 3.068
Pr 0.000 5.954 9.167
Tb 2.602 2.527 0.553
Pm 2.602 1.440 5.565
Pm 0.000 2.880 11.130
Ho 0.000 3.967 6.118
```

Entry 2:
Tb5PmPrHo2 | PBE | relaxed

Summary:
The value obtained for the total energy is -4.491 eV per atom. For the volume, the calculation gives 33.21 A^3/atom.

Structure (extended XYZ):
```
18
Lattice="5.641 0.000 0.000 -2.820 9.979 0.000 0.000 0.000 10.621" Properties=species:S:1:pos:R:3 pbc="T T T"
Tb 0.000 7.790 0.258
Tb 2.820 4.027 2.215
Tb 0.000 5.952 7.526
Tb 0.000 5.613 3.302
Tb 0.000 0.343 0.277
Tb 2.820 0.444 2.514
Tb 0.000 9.535 7.824
Tb 2.820 9.637 5.588
Tb 2.820 4.366 8.612
Tb 2.820 2.190 5.568
Pr 2.820 1.663 10.087
Pr 0.000 8.317 4.777
Ho 2.820 7.698 8.723
Ho 0.000 2.281 3.413
Ho 0.000 2.214 7.798
Ho 2.820 7.765 2.488
Pm 0.000 4.015 0.128
Pm 2.820 5.965 5.439
```

Entry 3:
TbPm4Pr2Ho | PBE | relaxed

Summary:
The value obtained for the total energy is -4.339 eV per atom. For the volume, the calculation gives 34.73 A^3/atom.

Structure (extended XYZ):
```
16
Lattice="9.468 0.007 -1.703 0.000 9.468 -1.703 -6.063 -6.067 8.380" Properties=species:S:1:pos:R:3 pbc="T T T"
Pm -0.776 -0.735 3.137
Pm 4.182 4.144 1.836
Pm 0.968 0.928 5.624
Pm -0.567 4.063 2.416
Pm 7.108 2.275 -1.632
Pm 3.973 -0.654 2.557
Pm 2.438 2.480 -0.650
Pm -3.702 1.133 6.606
Pr 1.703 -3.030 3.338
Pr 4.734 0.004 -0.852
Pr -3.031 -3.033 4.190
Pr 4.734 4.738 -1.703
Ho 1.703 1.704 2.487
Ho 3.406 -6.060 6.676
Tb 0.000 4.734 -0.852
Tb 6.437 1.708 1.635
```

Entry 4:
TbPm2Pr5Ho | PBE | relaxed

Summary:
The value obtained for the total energy is -4.455 eV per atom. For the volume, the calculation gives 35.28 A^3/atom.

Structure (extended XYZ):
```
18
Lattice="8.719 0.000 0.000 0.000 8.719 0.000 -4.359 -4.359 8.353" Properties=species:S:1:pos:R:3 pbc="T T T"
Pr 2.486 1.874 2.380
Pr 1.874 2.486 5.973
Pr 0.000 0.000 0.000
Pr 4.359 4.359 0.000
Pr 1.874 6.233 2.380
Pr 2.486 -1.874 5.973
Pr -1.874 -2.486 5.973
Pr 6.233 6.845 2.380
Pr 6.845 2.486 2.380
Pr -2.486 1.874 5.973
Tb 4.359 4.359 4.177
Tb 0.000 0.000 4.177
Ho 0.000 4.359 4.177
Ho 4.359 0.000 4.177
Pm 3.308 7.668 0.000
Pm 5.410 1.051 0.000
Pm 7.668 5.410 0.000
Pm 1.051 3.308 0.000
```